Record 1
Material: CdIn2Cl
Method: DFT, PBE
State: optimized geometry

Structure (extended XYZ):
```
4
Lattice="3.450 0.000 0.000 0.000 3.450 0.000 0.000 0.000 8.885" Properties=species:S:1:pos:R:3 pbc="T T T"
Cd 0.000 0.000 0.000
In 1.725 1.725 2.296
In 1.725 1.725 6.588
Cl 0.000 0.000 4.442
```

Summary:
E above lowest polymorph: 90.4 meV/atom

***

Record 2
Material: CdInCl2
Method: DFT, PBE
State: optimized geometry

Structure (extended XYZ):
```
4
Lattice="-1.852 3.001 4.834 1.852 -3.001 4.834 1.852 3.001 -4.834" Properties=species:S:1:pos:R:3 pbc="T T T"
Cd 0.000 0.000 0.000
In 1.852 0.000 2.358
Cl 0.000 0.000 4.476
Cl 0.000 3.001 2.859
```

Summary:
E above lowest polymorph: 130.0 meV/atom

***

Record 3
Material: Cd2In2Cl5
Method: DFT, PBE
State: optimized geometry

Structure (extended XYZ):
```
9
Lattice="7.402 -2.769 0.000 7.402 2.769 0.000 -2.862 0.000 6.949" Properties=species:S:1:pos:R:3 pbc="T T T"
Cd 1.091 0.000 2.633
Cd 10.852 0.000 4.315
In 5.209 0.000 1.256
In 6.733 0.000 5.692
Cl -1.431 0.000 3.474
Cl 2.344 0.000 0.318
Cl 3.450 0.000 4.113
Cl 8.493 0.000 2.836
Cl 9.599 0.000 6.630
```

Summary:
Final energy: -2.63 eV per atom

***

Record 4
Material: CdIn2Cl
Method: DFT, PBE
State: optimized geometry

Structure (extended XYZ):
```
8
Lattice="-2.268 2.268 11.119 2.268 -2.268 11.119 2.268 2.268 -11.119" Properties=species:S:1:pos:R:3 pbc="T T T"
Cd 0.000 0.000 0.000
Cd 0.000 2.268 5.560
In 1.134 -1.064 8.339
In 1.204 1.134 2.780
In 1.134 3.333 -2.780
In 1.064 1.134 13.899
Cl 2.268 0.000 5.560
Cl 0.000 0.000 11.119
```

Summary:
E above lowest polymorph: 127.0 meV/atom

***

| no. | mass density (g cm⁻³) | M_tot (μB/cell) |
| --- | --- | --- |
| 1 | 5.93 | 0.0 |
| 2 | 4.61 | 0.0 |
| 3 | 3.68 | 0.0 |
| 4 | 5.48 | 0.0 |